(1)
# HfUAs2 PBE relaxed
data_HfUAs2
_symmetry_space_group_name_H-M 'R 3 m'
_symmetry_Int_Tables_number 160
_symmetry_space_group_name_Hall 'R 3 -2"'
_cell_length_a 3.8318
_cell_length_b 3.8318
_cell_length_c 20.8785
_cell_angle_alpha 90.00
_cell_angle_beta 90.00
_cell_angle_gamma 120.00
loop_
_atom_site_label
_atom_site_type_symbol
_atom_site_fract_x
_atom_site_fract_y
_atom_site_fract_z
Hf1 Hf 0.0000 0.0000 0.0000
U1 U 0.0000 0.0000 0.8265
As1 As 0.0000 0.0000 0.2519
As2 As 0.0000 0.0000 0.4084
# Total moment = 2.26 μB per formula unit
# E_tot = -8.41 eV per atom
# DFT formation energy = -0.777 eV per atom
# Energy relative to the lowest polymorph listed for this composition = 0.122 eV/atom

---

(2)
# Ta2CuSb PBE relaxed
data_Ta2CuSb
_symmetry_space_group_name_H-M 'C 1 m 1'
_symmetry_Int_Tables_number 8
_cell_length_a 9.7373
_cell_length_b 3.5555
_cell_length_c 4.5321
_cell_angle_alpha 90.00
_cell_angle_beta 116.68
_cell_angle_gamma 90.00
loop_
_symmetry_equiv_pos_as_xyz
'x,y,z'
'x,-y,z'
'x+1/2,y+1/2,z'
'x+1/2,-y+1/2,z'
loop_
_atom_site_label
_atom_site_type_symbol
_atom_site_fract_x
_atom_site_fract_y
_atom_site_fract_z
Ta1 Ta 0.0000 0.0000 0.0000
Ta2 Ta 0.2370 0.0000 0.7661
Cu1 Cu 0.4942 0.0000 0.4869
Sb1 Sb 0.2658 0.5000 0.2921
# Total moment = 0.00 μB per formula unit
# E_tot = -7.82 eV per atom

---

(3)
# SrInAg2Cl8 PBE relaxed
data_SrInAg2Cl8
_symmetry_space_group_name_H-M 'P 1 2/m 1'
_symmetry_Int_Tables_number 10
_cell_length_a 6.4309
_cell_length_b 8.0313
_cell_length_c 6.7134
_cell_angle_alpha 90.00
_cell_angle_beta 96.40
_cell_angle_gamma 90.00
loop_
_symmetry_equiv_pos_as_xyz
'x,y,z'
'-x,-y,-z'
'-x,y,-z'
'x,-y,z'
loop_
_atom_site_label
_atom_site_type_symbol
_atom_site_fract_x
_atom_site_fract_y
_atom_site_fract_z
Sr1 Sr 0.0000 0.0000 0.0000
In1 In 0.0000 0.5000 0.0000
Ag1 Ag 0.5000 0.2529 0.5000
Cl1 Cl 0.2142 0.2807 0.8497
Cl2 Cl 0.2780 0.0000 0.3685
Cl3 Cl 0.2809 0.5000 0.3369
# Total moment = 0.00 μB per formula unit
# E_tot = -3.19 eV per atom

---

(4)
# Er4Bi2SbPb PBE relaxed
data_Er4Bi2SbPb
_symmetry_space_group_name_H-M 'P 1 2/m 1'
_symmetry_Int_Tables_number 10
_cell_length_a 7.6511
_cell_length_b 4.3770
_cell_length_c 7.7035
_cell_angle_alpha 90.00
_cell_angle_beta 109.08
_cell_angle_gamma 90.00
loop_
_symmetry_equiv_pos_as_xyz
'x,y,z'
'-x,-y,-z'
'-x,y,-z'
'x,-y,z'
loop_
_atom_site_label
_atom_site_type_symbol
_atom_site_fract_x
_atom_site_fract_y
_atom_site_fract_z
Er1 Er 0.2438 0.0000 0.2465
Er2 Er 0.2469 0.5000 0.7520
Bi1 Bi 0.5000 0.0000 0.0000
Bi2 Bi 0.5000 0.5000 0.5000
Sb1 Sb 0.0000 0.5000 0.0000
Pb1 Pb 0.0000 0.0000 0.5000
# Total moment = 0.00 μB per formula unit
# E_tot = -4.98 eV per atom

---

Repeat the fourth record exactly.
# Er4Bi2SbPb PBE relaxed
data_Er4Bi2SbPb
_symmetry_space_group_name_H-M 'P 1 2/m 1'
_symmetry_Int_Tables_number 10
_cell_length_a 7.6511
_cell_length_b 4.3770
_cell_length_c 7.7035
_cell_angle_alpha 90.00
_cell_angle_beta 109.08
_cell_angle_gamma 90.00
loop_
_symmetry_equiv_pos_as_xyz
'x,y,z'
'-x,-y,-z'
'-x,y,-z'
'x,-y,z'
loop_
_atom_site_label
_atom_site_type_symbol
_atom_site_fract_x
_atom_site_fract_y
_atom_site_fract_z
Er1 Er 0.2438 0.0000 0.2465
Er2 Er 0.2469 0.5000 0.7520
Bi1 Bi 0.5000 0.0000 0.0000
Bi2 Bi 0.5000 0.5000 0.5000
Sb1 Sb 0.0000 0.5000 0.0000
Pb1 Pb 0.0000 0.0000 0.5000
# Total moment = 0.00 μB per formula unit
# E_tot = -4.98 eV per atom